Entry 1:
Here is LiMgZn2 after structural relaxation from Alexandria. Energies are from GGA-PBEsol.

- E_form: -0.108 eV/atom
- D(E_F): 1.21 states/eV per cell
- E_tot: -7.3 eV for the cell shown
- Calculated volume: 62.9 Å³ per cell
- Magnetic moment: 0.0 μB/f.u.

abc: 3.922 3.922 4.088
angles: 90.00 90.00 90.00
Sites, in units of the cell vectors:
Li  0.000  0.000  0.000
Mg  0.500  0.500  0.000
Zn  0.000  0.500  0.500
Zn  0.500  0.000  0.500

Entry 2:
Here is SiAgOs3 after structural relaxation from Alexandria. Energies are from GGA-PBEsol.

- D(E_F): 8.70 states/eV per cell
- E_tot: -29.3 eV for the cell shown
- Calculated volume: 101.5 Å³ per cell
- Magnetic moment: 2.0 μB/f.u.

abc: 4.665 4.665 4.665
angles: 90.00 90.00 90.00
Sites, in units of the cell vectors:
Si  0.000  0.000  0.000
Ag  0.500  0.500  0.500
Os  0.000  0.500  0.500
Os  0.500  0.000  0.500
Os  0.500  0.500  0.000

Entry 3:
Here is LiCoSbO4 after structural relaxation from Alexandria. Energies are from GGA-PBEsol.

- D(E_F): 9.39 states/eV per cell
- E_tot: -90.0 eV for the cell shown
- Energy relative to the lowest polymorph listed for this composition: 0.0 meV/atom
- Calculated volume: 156.9 Å³ per cell
- Magnetic moment: 3.0 μB/f.u.

abc: 6.088 6.088 6.088
angles: 122.87 119.08 88.35
Sites, in units of the cell vectors:
Li  0.394  0.144  0.250
Li  0.606  0.856  0.750
Co  0.000  0.000  0.500
Co  0.000  0.500  0.000
Sb  0.000  0.500  0.500
Sb  0.500  0.500  0.000
O  0.207  0.726  0.481
O  0.245  0.262  0.517
O  0.245  0.729  0.983
O  0.256  0.274  0.981
O  0.744  0.726  0.019
O  0.755  0.271  0.017
O  0.755  0.738  0.483
O  0.793  0.274  0.519

Entry 4:
Here is CsLi2S after structural relaxation from Alexandria. Energies are from GGA-PBEsol.

- D(E_F): 3.77 states/eV per cell
- E_tot: -24.1 eV for the cell shown
- Calculated volume: 302.1 Å³ per cell
- Magnetic moment: 0.0 μB/f.u.

abc: 7.531 7.531 7.531
angles: 60.00 60.00 60.00
Sites, in units of the cell vectors:
Cs  0.125  0.125  0.125
Cs  0.875  0.875  0.875
Li  0.000  0.500  0.500
Li  0.500  0.000  0.500
Li  0.500  0.500  0.000
Li  0.500  0.500  0.500
S  0.375  0.375  0.375
S  0.625  0.625  0.625

calculated volume of number 3 (LiCoSbO4)? 156.9 Å³ per cell

Number 2 is which compound? SiAgOs3

Please write out number 1 again, unchanged.
Here is LiMgZn2 after structural relaxation from Alexandria. Energies are from GGA-PBEsol.

- E_form: -0.108 eV/atom
- D(E_F): 1.21 states/eV per cell
- E_tot: -7.3 eV for the cell shown
- Calculated volume: 62.9 Å³ per cell
- Magnetic moment: 0.0 μB/f.u.

abc: 3.922 3.922 4.088
angles: 90.00 90.00 90.00
Sites, in units of the cell vectors:
Li  0.000  0.000  0.000
Mg  0.500  0.500  0.000
Zn  0.000  0.500  0.500
Zn  0.500  0.000  0.500